[1]
NaPI2: optimized geometry, PBE.

Calculated values
* raw total energy: -2.2386 eV/atom
* total magnetization: 2.0 Bohr magnetons per cell
* energy relative to the elements, uncorrected: 219 meV per atom
* crystal system: cubic
* density of states at the Fermi level: 1.12 states/eV/atom
* space group: Fm-3m (225)
* energy relative to the lowest polymorph listed for this composition: 1.086 eV per formula unit

a b c (Å): 5.5659 5.5659 5.5659
angles (deg): 60.00 60.00 60.00
Positions (direct):
Na1 0.0000 0.0000 0.0000
P1 0.5000 0.5000 0.5000
I1 0.2500 0.2500 0.2500
I2 0.7500 0.7500 0.7500

[2]
NaP2I: optimized geometry, PBE.

Calculated values
* raw total energy: -2.6344 eV/atom
* total magnetization: 0.0 Bohr magnetons per cell
* energy relative to the elements, uncorrected: 788 meV per atom
* crystal system: cubic
* density of states at the Fermi level: 0.61 states/eV/atom
* space group: Fm-3m (225)
* energy relative to the lowest polymorph listed for this composition: 3.117 eV per formula unit

a b c (Å): 5.0113 5.0113 5.0113
angles (deg): 60.00 60.00 60.00
Positions (direct):
Na1 0.0000 0.0000 0.0000
P1 0.2500 0.2500 0.2500
P2 0.7500 0.7500 0.7500
I1 0.5000 0.5000 0.5000

[3]
NaP2I: optimized geometry, PBE.

Calculated values
* raw total energy: -3.4136 eV/atom
* total magnetization: 0.0 Bohr magnetons per cell
* energy relative to the elements, uncorrected: 9 meV per atom
* crystal system: tetragonal
* density of states at the Fermi level: 0.30 states/eV/atom
* space group: I-42d (122)
* energy relative to the lowest polymorph listed for this composition: 0.000 eV per formula unit

a b c (Å): 19.0391 19.0391 19.0391
angles (deg): 168.06 168.06 16.92
Positions (direct):
Na1 0.0000 0.0000 0.0000
Na2 0.7500 0.2500 0.5000
P1 0.2265 0.6250 0.1015
P2 0.3750 0.4765 0.6015
P3 0.5235 0.1250 0.8985
P4 0.8750 0.7735 0.3985
I1 0.2500 0.7500 0.5000
I2 0.5000 0.5000 0.0000

[4]
Na2P2I: optimized geometry, PBE.

Calculated values
* raw total energy: -3.3597 eV/atom
* total magnetization: 0.0 Bohr magnetons per cell
* energy relative to the elements, uncorrected: -358 meV per atom
* crystal system: tetragonal
* density of states at the Fermi level: 0.52 states/eV/atom
* space group: P4/mbm (127)
* energy relative to the lowest polymorph listed for this composition: 0.266 eV per formula unit

a b c (Å): 8.3827 8.3827 4.1714
angles (deg): 90.00 90.00 90.00
Positions (direct):
Na1 0.1881 0.3119 0.0000
Na2 0.3119 0.8119 0.0000
Na3 0.6881 0.1881 0.0000
Na4 0.8119 0.6881 0.0000
P1 0.0843 0.5843 0.5000
P2 0.4157 0.0843 0.5000
P3 0.5843 0.9157 0.5000
P4 0.9157 0.4157 0.5000
I1 0.0000 0.0000 0.0000
I2 0.5000 0.5000 0.0000